! PuZrSb2, relaxed, DFT GGA-PBE; values from VASP
! Space group: No. 225
! Formation energy without anion corrections: -0.50 eV per atom
! Distance to the lowest polymorph of the same formula: 59 kJ/mol of formula units
&SYSTEM
  ibrav = 0, nat = 4, ntyp = 3
/
ATOMIC_SPECIES
Pu 244.00 Pu.upf
Zr 91.22 Zr.upf
Sb 121.76 Sb.upf
ATOMIC_POSITIONS crystal
Pu 0.0000 0.0000 0.0000
Zr 0.5000 0.5000 0.5000
Sb 0.2500 0.2500 0.2500
Sb 0.7500 0.7500 0.7500
CELL_PARAMETERS angstrom
0.0000 3.6751 3.6751
3.6751 0.0000 3.6751
3.6751 3.6751 0.0000


! Tl6Hg8Bi, relaxed, DFT GGA-PBE; values from VASP
! Space group: No. 148
! Energy: -20.40 eV for the cell shown
&SYSTEM
  ibrav = 0, nat = 15, ntyp = 3
/
ATOMIC_SPECIES
Tl 204.38 Tl.upf
Hg 200.59 Hg.upf
Bi 208.98 Bi.upf
ATOMIC_POSITIONS crystal
Tl 0.0328 0.5550 0.7683
Tl 0.2317 0.9672 0.4450
Tl 0.4450 0.2317 0.9672
Tl 0.5550 0.7683 0.0328
Tl 0.7683 0.0328 0.5550
Tl 0.9672 0.4450 0.2317
Hg 0.0799 0.0799 0.0799
Hg 0.1636 0.6260 0.3078
Hg 0.3078 0.1636 0.6260
Hg 0.3740 0.6922 0.8364
Hg 0.6260 0.3078 0.1636
Hg 0.6922 0.8364 0.3740
Hg 0.8364 0.3740 0.6922
Hg 0.9201 0.9201 0.9201
Bi 0.5000 0.5000 0.5000
CELL_PARAMETERS angstrom
4.2599 2.4595 7.0015
-4.2599 2.4595 7.0015
0.0000 -4.9189 7.0015


! TaBe2Ir, relaxed, DFT GGA-PBE; values from VASP
! Space group: No. 122
! Energy: -54.35 eV for the cell shown
&SYSTEM
  ibrav = 0, nat = 8, ntyp = 3
/
ATOMIC_SPECIES
Ta 180.95 Ta.upf
Be 9.01 Be.upf
Ir 192.22 Ir.upf
ATOMIC_POSITIONS crystal
Ta 0.0000 0.0000 0.0000
Ta 0.7500 0.2500 0.5000
Be 0.1837 0.6250 0.0587
Be 0.3750 0.4337 0.5587
Be 0.5663 0.1250 0.9413
Be 0.8750 0.8163 0.4413
Ir 0.2500 0.7500 0.5000
Ir 0.5000 0.5000 0.0000
CELL_PARAMETERS angstrom
-1.8457 1.8457 8.4548
1.8457 -1.8457 8.4548
1.8457 1.8457 -8.4548


! InBNO2, relaxed, DFT GGA-PBE; values from VASP
! Space group: No. 123
! Formation energy without anion corrections: -0.12 eV per atom
&SYSTEM
  ibrav = 0, nat = 5, ntyp = 4
/
ATOMIC_SPECIES
In 114.82 In.upf
B 10.81 B.upf
N 14.01 N.upf
O 16.00 O.upf
ATOMIC_POSITIONS crystal
In 0.0000 0.0000 0.0000
B 0.5000 0.5000 0.5000
N 0.5000 0.5000 0.0000
O 0.0000 0.5000 0.5000
O 0.5000 0.0000 0.5000
CELL_PARAMETERS angstrom
3.9702 0.0000 0.0000
0.0000 3.9702 0.0000
0.0000 0.0000 2.9160